Entry 1:
A plane-wave DFT calculation with GGA-PBE was carried out for a geometry-optimized CrGaRh2 structure.

abc: 5.4716 5.4716 5.4716
angles: 104.88 104.88 119.09
Fractional coordinates of all 8 atoms:
Cr: 0.0000 0.0000 0.0000
Cr: 0.7500 0.2500 0.5000
Ga: 0.2500 0.7500 0.5000
Ga: 0.5000 0.5000 0.0000
Rh: 0.1204 0.6250 0.9954
Rh: 0.3750 0.3704 0.4954
Rh: 0.6296 0.1250 0.0046
Rh: 0.8750 0.8796 0.5046

**DFT formation energy**: 0.16 eV per atom
**Theoretical density**: 8.8 g/cm3
**SG**: I-42d, No. 122
**Uncorrected energy**: -6.677 eV per atom


Entry 2:
A plane-wave DFT calculation with GGA-PBE was carried out for a geometry-optimized Cr2GaRh8 structure.

abc: 6.8733 6.8733 6.8733
angles: 146.22 118.88 71.69
Fractional coordinates of all 11 atoms:
Cr: 0.2015 0.2015 0.0000
Cr: 0.7985 0.7985 0.0000
Ga: 0.5000 0.5000 0.0000
Rh: 0.0544 0.3403 0.7141
Rh: 0.1813 0.0000 0.1813
Rh: 0.3556 0.8556 0.5000
Rh: 0.3738 0.6597 0.7141
Rh: 0.6262 0.3403 0.2859
Rh: 0.6444 0.1444 0.5000
Rh: 0.8187 0.0000 0.8187
Rh: 0.9456 0.6597 0.2859

**DFT formation energy**: -0.07 eV per atom
**Theoretical density**: 10.6 g/cm3
**SG**: Immm, No. 71
**Uncorrected energy**: -7.446 eV per atom


Entry 3:
A plane-wave DFT calculation with GGA-PBE was carried out for a geometry-optimized CrGa3Rh4 structure.

abc: 3.0427 4.2966 8.5656
angles: 90.00 90.00 90.00
Fractional coordinates of all 8 atoms:
Cr: 0.0000 0.0000 0.0000
Ga: 0.0000 0.0000 0.5000
Ga: 0.0000 0.5000 0.2431
Ga: 0.0000 0.5000 0.7569
Rh: 0.5000 0.0000 0.2546
Rh: 0.5000 0.0000 0.7454
Rh: 0.5000 0.5000 0.0000
Rh: 0.5000 0.5000 0.5000

**DFT formation energy**: -0.54 eV per atom
**Theoretical density**: 10.0 g/cm3
**SG**: Pmmm, No. 47
**Uncorrected energy**: -6.552 eV per atom